1.
An optimized crystal structure of Tb11Er9Tm4, computed with PBE-GGA.

The calculated total energy comes out at -217.3 eV/cell. The density comes out at 8.7 g/cm3.

The space group is Cmmm (No. 65) and the conventional cell measures 16.555, 25.061 and 3.609 Å, with angles of 90.00, 90.00 and 90.00 degrees. The inequivalent atoms are Tb at (0.000, 0.000, 0.000), Tb at (0.000, 0.160, 0.000), Tb at (0.000, 0.368, 0.000), Tb at (0.207, 0.500, 0.000), Tb at (0.225, 0.181, 0.000), Er at (0.000, 0.500, 0.500), Er at (0.102, 0.267, 0.500), Er at (0.142, 0.073, 0.500) and Tm at (0.156, 0.399, 0.500).

=====

2.
An optimized crystal structure of Tb5Er4Tm3, computed with PBE-GGA.

The calculated total energy comes out at -103.7 eV/cell. The density comes out at 8.6 g/cm3. The calculation puts the energy relative to the lowest polymorph listed for this composition at 225 meV per atom.

The space group is C2/m (No. 12) and the conventional cell measures 16.007, 5.798 and 9.173 Å, with angles of 90.00, 116.93 and 90.00 degrees. The inequivalent atoms are Tb at (0.000, 0.000, 0.000), Tb at (0.075, 0.500, 0.702), Tb at (0.174, 0.500, 0.385), Er at (0.080, 0.000, 0.438), Er at (0.214, 0.000, 0.878), Tm at (0.000, 0.500, 0.000) and Tm at (0.209, 0.000, 0.230).

=====

3.
An optimized crystal structure of Tb4Er6Tm19, computed with PBE-GGA.

The calculated total energy comes out at -238.6 eV/cell. The density comes out at 8.7 g/cm3.

The space group is I23 (No. 197) and the conventional cell measures 12.294, 12.294 and 12.294 Å, with angles of 90.00, 90.00 and 90.00 degrees. The inequivalent atoms are Tb at (0.178, 0.178, 0.178), Er at (0.000, 0.129, 0.500), Tm at (0.000, 0.000, 0.000), Tm at (0.000, 0.000, 0.263) and Tm at (0.064, 0.275, 0.738).

=====

4.
An optimized crystal structure of Tb3ErTm2, computed with PBE-GGA.

The calculated total energy comes out at -53.9 eV/cell. The density comes out at 8.8 g/cm3. The calculation puts the energy relative to the lowest polymorph listed for this composition at 73 meV per atom.

The space group is P-1 (No. 2) and the conventional cell measures 5.580, 8.853 and 8.863 Å, with angles of 65.59, 71.71 and 71.68 degrees. The inequivalent atoms are Tb at (0.000, 0.169, 0.332), Tb at (0.251, 0.578, 0.420), Tb at (0.375, 0.121, 0.628), Er at (0.125, 0.372, 0.878), Tm at (0.251, 0.913, 0.085) and Tm at (0.500, 0.335, 0.165).

=====

5.
An optimized crystal structure of Tb8Er3Tm, computed with PBE-GGA.

The calculated total energy comes out at -93.0 eV/cell. The density comes out at 7.2 g/cm3.

The space group is I4/mmm (No. 139) and the conventional cell measures 7.639, 7.639 and 15.271 Å, with angles of 90.00, 90.00 and 90.00 degrees. The inequivalent atoms are Tb at (0.250, 0.250, 0.125), Er at (0.000, 0.000, 0.000), Er at (0.000, 0.500, 0.250) and Tm at (0.000, 0.000, 0.500).

=====

6.
An optimized crystal structure of TbErTm3, computed with PBE-GGA.

The calculated total energy comes out at -41.9 eV/cell. The density comes out at 8.3 g/cm3. The calculation puts the energy relative to the lowest polymorph listed for this composition at 330 meV per atom.

The space group is P2_1/m (No. 11) and the conventional cell measures 3.580, 11.374 and 8.364 Å, with angles of 90.00, 102.34 and 90.00 degrees. The inequivalent atoms are Tb at (0.189, 0.250, 0.379), Er at (0.485, 0.750, 0.968), Tm at (0.150, 0.750, 0.298) and Tm at (0.346, 0.001, 0.693).

=====

7.
An optimized crystal structure of Tb5Er2Tm3, computed with PBE-GGA.

The calculated total energy comes out at -171.8 eV/cell. The density comes out at 8.5 g/cm3. The calculation puts the energy relative to the lowest polymorph listed for this composition at 70 meV per atom.

The space group is Ibam (No. 72) and the conventional cell measures 10.896, 17.558 and 6.701 Å, with angles of 90.00, 90.00 and 90.00 degrees. The inequivalent atoms are Tb at (0.000, 0.000, 0.250), Tb at (0.000, 0.317, 0.250), Tb at (0.111, 0.171, 0.000), Er at (0.236, 0.477, 0.500), Tm at (0.000, 0.500, 0.250) and Tm at (0.205, 0.169, 0.500).

=====

8.
An optimized crystal structure of TbEr4Tm10, computed with PBE-GGA.

The calculated total energy comes out at -113.3 eV/cell. The density comes out at 7.7 g/cm3.

The space group is I4/m (No. 87) and the conventional cell measures 11.963, 11.963 and 7.562 Å, with angles of 90.00, 90.00 and 90.00 degrees. The inequivalent atoms are Tb at (0.000, 0.000, 0.000), Er at (0.100, 0.301, 0.500), Tm at (0.000, 0.500, 0.250) and Tm at (0.100, 0.800, 0.251).

=====

9.
An optimized crystal structure of Tb3ErTm2, computed with PBE-GGA.

The calculated total energy comes out at -54.8 eV/cell. The density comes out at 8.8 g/cm3. The calculation puts the energy relative to the lowest polymorph listed for this composition at 0 meV per atom.

The space group is P-1 (No. 2) and the conventional cell measures 7.104, 7.105 and 8.730 Å, with angles of 90.05, 101.72 and 119.99 degrees. The inequivalent atoms are Tb at (0.000, 0.249, 0.001), Tb at (0.221, 0.360, 0.666), Tb at (0.279, 0.640, 0.335), Er at (0.500, 0.249, 0.001), Tm at (0.223, 0.862, 0.667) and Tm at (0.277, 0.138, 0.334).

=====

10.
An optimized crystal structure of TbEr2Tm2, computed with PBE-GGA.

The calculated total energy comes out at -44.5 eV/cell. The density comes out at 8.9 g/cm3. The calculation puts the energy relative to the lowest polymorph listed for this composition at 64 meV per atom.

The space group is P4/mbm (No. 127) and the conventional cell measures 9.230, 9.230 and 3.637 Å, with angles of 90.00, 90.00 and 90.00 degrees. The inequivalent atoms are Tb at (0.000, 0.000, 0.000), Er at (0.173, 0.327, 0.500) and Tm at (0.125, 0.625, 0.000).

=====

11.
An optimized crystal structure of Tb3Er6Tm, computed with PBE-GGA.

The calculated total energy comes out at -177.0 eV/cell. The density comes out at 8.7 g/cm3. The calculation puts the energy relative to the lowest polymorph listed for this composition at 27 meV per atom.

The space group is Cmc2_1 (No. 36) and the conventional cell measures 10.889, 18.768 and 6.131 Å, with angles of 90.00, 90.00 and 90.00 degrees. The inequivalent atoms are Tb at (0.000, 0.109, 0.000), Tb at (0.170, 0.391, 0.611), Er at (0.000, 0.217, 0.427), Er at (0.000, 0.452, 0.149), Er at (0.164, 0.047, 0.534), Er at (0.249, 0.210, 0.707) and Tm at (0.000, 0.292, 0.922).

=====

12.
An optimized crystal structure of Tb3Er2Tm7, computed with PBE-GGA.

The calculated total energy comes out at -53.3 eV/cell. The density comes out at 9.0 g/cm3. The calculation puts the energy relative to the lowest polymorph listed for this composition at 0 meV per atom.

The space group is P2/m (No. 10) and the conventional cell measures 6.231, 3.470 and 17.186 Å, with angles of 90.00, 96.18 and 90.00 degrees. The inequivalent atoms are Tb at (0.000, 0.000, 0.000), Tb at (0.051, 0.500, 0.657), Er at (0.440, 0.000, 0.326), Tm at (0.226, 0.500, 0.165), Tm at (0.246, 0.000, 0.501), Tm at (0.276, 0.000, 0.833) and Tm at (0.500, 0.500, 0.000).